DFT (PBE+U) results for a geometry-optimized TaCo2SnO6 structure.

```
data_TaCo2SnO6
_chemical_formula_sum 'Ta3 Co6 Sn3 O18'
_cell_length_a 5.2587
_cell_length_b 5.2587
_cell_length_c 14.8403
_cell_angle_alpha 90.00
_cell_angle_beta 90.00
_cell_angle_gamma 120.00
_symmetry_space_group_name_H-M 'R 3'
_symmetry_Int_Tables_number 146
_symmetry_space_group_name_Hall 'R 3'
loop_
_atom_site_label
_atom_site_type_symbol
_atom_site_fract_x
_atom_site_fract_y
_atom_site_fract_z
Ta1 Ta 0.0000 0.0000 0.0000
Co1 Co 0.0000 0.0000 0.3114
Co2 Co 0.0000 0.0000 0.7911
Sn1 Sn 0.0000 0.0000 0.5256
O1 O 0.0021 0.3184 0.3885
O2 O 0.0114 0.5920 0.5745
```

Properties
DFT total energy (eV for the cell shown): -214.3